(1)
## BaH2N (PBE-GGA)

Data for a geometry-optimized BaH2N structure.

SG   P1 (1)
Final energy   -4.65 eV per atom
M_tot   0.3 μB per formula unit
Energy above the most stable polymorph in this dataset   0.000 eV per formula unit
Crystal system   triclinic

abc: 4.3279 4.5009 7.1028
angles: 133.98 115.36 79.40
Last column: nearest neighbours and their distance in Å.
Sites, in units of the cell vectors:
H 0.1746 0.0882 0.3187  1 N 1.04
H 0.3591 0.4531 0.6812  1 N 1.04
Ba 0.7887 0.7793 0.5001  3 N 2.68-2.91, 4 H 2.91-2.98
N 0.1775 0.1793 0.4999  2 H 1.04

---

(2)
## Y2Tl2Hg (PBE-GGA)

Data for a geometry-optimized Y2Tl2Hg structure.

SG   P4/mbm (127)
E_form   -27 kJ per mole of atoms
Final energy   -3.88 eV per atom
M_tot   0.0 μB per formula unit
Energy above the most stable polymorph in this dataset   0.185 eV per formula unit
Crystal system   tetragonal

abc: 7.8750 7.8750 4.4244
angles: 90.00 90.00 90.00
Last column: nearest neighbours and their distance in Å.
Sites, in units of the cell vectors:
Tl 0.8645 0.6355 0.0000  1 Tl 3.02, 2 Hg 3.06, 6 Y 3.11-3.27
Tl 0.3645 0.8645 0.0000  1 Tl 3.02, 2 Hg 3.06, 6 Y 3.11-3.27
Tl 0.1355 0.3645 0.0000  1 Tl 3.02, 2 Hg 3.06, 6 Y 3.11-3.27
Tl 0.6355 0.1355 0.0000  1 Tl 3.02, 2 Hg 3.06, 6 Y 3.11-3.27
Y 0.1685 0.6685 0.5000  6 Tl 3.11-3.27
Y 0.3315 0.1685 0.5000  6 Tl 3.11-3.27
Y 0.6685 0.8315 0.5000  6 Tl 3.11-3.27
Y 0.8315 0.3315 0.5000  6 Tl 3.11-3.27
Hg 0.0000 0.0000 0.0000  4 Tl 3.06
Hg 0.5000 0.5000 0.0000  4 Tl 3.06

---

(3)
## TbCePt2 (PBE-GGA)

Data for a geometry-optimized TbCePt2 structure.

SG   P4/mmm (123)
E_form   -104 kJ per mole of atoms
Final energy   -6.74 eV per atom
M_tot   0.7 μB per formula unit
Crystal system   tetragonal

abc: 3.4902 5.0428 5.0428
angles: 90.00 90.00 90.00
Last column: nearest neighbours and their distance in Å.
Sites, in units of the cell vectors:
Ce 0.5000 0.0000 0.0000  8 Pt 3.07
Pt 0.0000 0.0000 0.5000  4 Tb 3.07, 4 Ce 3.07
Pt 0.0000 0.5000 0.0000  4 Tb 3.07, 4 Ce 3.07
Tb 0.5000 0.5000 0.5000  8 Pt 3.07

---

(4)
## Tc2PtCl (PBE-GGA)

Data for a geometry-optimized Tc2PtCl structure.

SG   Pmm2 (25)
Final energy   -6.75 eV per atom
M_tot   0.0 μB per formula unit
Energy above the most stable polymorph in this dataset   1.131 eV per formula unit
Uncorrected formation energy   401 meV per atom
Crystal system   orthorhombic

abc: 2.8456 3.7770 6.4377
angles: 90.00 90.00 90.00
Last column: nearest neighbours and their distance in Å.
Sites, in units of the cell vectors:
Cl 0.0000 0.0000 0.4218  5 Tc 2.43-2.70
Tc 0.0000 0.0000 0.0447  1 Cl 2.43, 4 Tc 2.62
Tc 0.5000 0.5000 0.2194  1 Pt 2.61, 6 Tc 2.62-2.85, 4 Cl 2.70
Pt 0.5000 0.5000 0.8141  5 Tc 2.61-2.79, 2 Pt 2.85

---

(5)
## YNiGe3 (PBE-GGA)

Data for a geometry-optimized YNiGe3 structure.

SG   Pm-3m (221)
E_form   -10 kJ per mole of atoms
Final energy   -5.32 eV per atom
M_tot   0.0 μB per formula unit
Crystal system   cubic

abc: 4.6609 4.6609 4.6609
angles: 90.00 90.00 90.00
Last column: nearest neighbours and their distance in Å.
Sites, in units of the cell vectors:
Ni 0.0000 0.0000 0.0000  6 Ge 2.33
Ge 0.0000 0.5000 0.0000  2 Ni 2.33
Ge 0.0000 0.0000 0.5000  2 Ni 2.33
Ge 0.5000 0.0000 0.0000  2 Ni 2.33
Y 0.5000 0.5000 0.5000  12 Ge 3.30

---

(6)
## Li2B2PPd5 (PBE-GGA)

Data for a geometry-optimized Li2B2PPd5 structure.

SG   P4/mbm (127)
E_form   -39 kJ per mole of atoms
Final energy   -5.26 eV per atom
M_tot   0.0 μB per formula unit
Crystal system   tetragonal

abc: 3.0214 9.3085 9.3085
angles: 90.00 90.00 90.00
Last column: nearest neighbours and their distance in Å.
Sites, in units of the cell vectors:
B 0.0000 0.3739 0.1261  6 Pd 2.18-2.24
B 0.0000 0.6261 0.8739  6 Pd 2.18-2.24
B 0.0000 0.8739 0.3739  6 Pd 2.18-2.24
B 0.0000 0.1261 0.6261  6 Pd 2.18-2.24
Pd 0.5000 0.7873 0.9260  2 B 2.18
Pd 0.5000 0.2127 0.0740  2 B 2.18
Pd 0.5000 0.5000 0.0000  4 B 2.24
Pd 0.5000 0.2873 0.5740  2 B 2.18
Pd 0.5000 0.4260 0.2873  2 B 2.18
Pd 0.5000 0.0000 0.5000  4 B 2.24
Pd 0.5000 0.7127 0.4260  2 B 2.18
Pd 0.5000 0.9260 0.2127  2 B 2.18
Pd 0.5000 0.5740 0.7127  2 B 2.18
Pd 0.5000 0.0740 0.7873  2 B 2.18
Li 0.0000 0.6739 0.1739  3 B 2.63-2.83, 6 Pd 2.74-2.81
Li 0.0000 0.1739 0.3261  3 B 2.63-2.83, 6 Pd 2.74-2.81
Li 0.0000 0.3261 0.8261  3 B 2.63-2.83, 6 Pd 2.74-2.81
Li 0.0000 0.8261 0.6739  3 B 2.63-2.83, 6 Pd 2.74-2.81
P 0.0000 0.0000 0.0000  8 Pd 2.58
P 0.0000 0.5000 0.5000  8 Pd 2.58

---

(7)
## Sn3Pd4 (PBE-GGA)

Data for a geometry-optimized Sn3Pd4 structure.

SG   I4/mmm (139)
E_form   -42 kJ per mole of atoms
Final energy   -5.12 eV per atom
M_tot   0.0 μB per formula unit
Crystal system   tetragonal

abc: 3.5175 3.5163 10.7066
angles: 99.44 99.45 90.00
Last column: nearest neighbours and their distance in Å.
Sites, in units of the cell vectors:
Sn 0.0000 0.5000 0.0000  8 Pd 2.88, 2 Sn 3.20
Sn 0.1535 0.6535 0.3071  9 Pd 2.76-3.04
Sn 0.8465 0.3465 0.6929  9 Pd 2.76-3.04
Pd 0.2887 0.7887 0.5774  5 Sn 2.76-2.82, 5 Pd 2.94-2.96
Pd 0.4301 0.9301 0.8601  8 Sn 2.88-3.04, 2 Pd 2.91-2.94
Pd 0.5699 0.0699 0.1399  8 Sn 2.88-3.04, 2 Pd 2.91-2.94
Pd 0.7113 0.2113 0.4226  5 Sn 2.76-2.82, 5 Pd 2.94-2.96

---

(8)
## SrLaY2Tc (PBE-GGA)

Data for a geometry-optimized SrLaY2Tc structure.

SG   P4/mmm (123)
E_form   3 kJ per mole of atoms
Final energy   -5.95 eV per atom
M_tot   0.0 μB per formula unit
Energy above the most stable polymorph in this dataset   0.000 eV per formula unit
Crystal system   tetragonal

abc: 5.6187 5.6187 5.4504
angles: 90.00 90.00 90.00
Last column: nearest neighbours and their distance in Å.
Sites, in units of the cell vectors:
Y 0.5000 0.0000 0.0000  2 Tc 2.81
Y 0.0000 0.5000 0.0000  2 Tc 2.81
Tc 0.0000 0.0000 0.0000  2 La 2.73, 4 Y 2.81
Sr 0.5000 0.5000 0.5000  8 Y 3.91, 4 La 3.97
La 0.0000 0.0000 0.5000  2 Tc 2.73